1.
A plane-wave DFT calculation with GGA-PBE was carried out for crystalline CaTc3H at its relaxed geometry.

Computed properties:
For the energy above the most stable polymorph in this dataset, the calculation gives 0.00 kJ per mole of atoms. For the uncorrected energy, the calculation gives -6.672 eV/atom.

Geometry as POSCAR:
```
CaTc3H
1.0
4.114 0.000 0.000
0.000 4.114 0.000
0.000 0.000 4.114
H Ca Tc
1 1 3
Direct
0.000 0.000 0.000
0.500 0.500 0.500
0.000 0.500 0.000
0.000 0.000 0.500
0.500 0.000 0.000
```



2.
A plane-wave DFT calculation with GGA-PBE was carried out for crystalline Lu2Pu at its relaxed geometry.

Computed properties:
For the uncorrected energy, the calculation gives -7.693 eV/atom. The calculation puts the formation energy from the elements at 98.0 meV/atom.

Geometry as POSCAR:
```
Lu2Pu
1.0
3.428 0.000 0.000
0.000 3.428 0.000
-1.714 -1.714 7.275
Lu Pu
2 1
Direct
0.665 0.665 0.330
0.335 0.335 0.670
0.000 0.000 0.000
```



3.
A plane-wave DFT calculation with GGA-PBE was carried out for crystalline Pu3Th5N8 at its relaxed geometry.

Computed properties:
For the uncorrected energy, the calculation gives -10.606 eV/atom. The calculation puts the uncorrected formation energy at -1.44 eV per atom.

Geometry as POSCAR:
```
Pu3Th5N8
1.0
6.273 0.000 3.593
2.107 5.908 3.593
0.037 0.026 7.207
Pu Th N
3 5 8
Direct
0.500 0.000 0.500
0.000 0.000 0.500
0.000 0.500 0.500
0.500 0.000 0.000
0.500 0.500 0.000
0.000 0.000 0.000
0.000 0.500 0.000
0.500 0.500 0.500
0.250 0.250 0.748
0.250 0.753 0.748
0.753 0.250 0.748
0.753 0.753 0.741
0.750 0.750 0.252
0.750 0.247 0.252
0.247 0.750 0.252
0.247 0.247 0.259
```